(1)
First-principles (PBE) data for a geometry-optimized Pm3AlGa2Pd9 structure, as listed in the Alexandria database.

As for the electronic total energy: -5.3337 eV/atom. The formation energy from the elements is -0.61 eV per atom. The theoretical density comes out at 8.16 g cm⁻³.

The space group is P-3m1 (No. 164) and the conventional cell measures 5.7409, 5.7409 and 11.1172 Å, with angles of 90.00, 90.00 and 120.00 degrees. Symmetry generates all atoms from Pm at (0.0000, 0.0000, 0.0000), Pm at (0.3333, 0.6667, 0.7385), Al at (0.0000, 0.0000, 0.5000), Ga at (0.3333, 0.6667, 0.1693), Pd at (0.0000, 0.5000, 0.0000) and Pd at (0.1664, 0.3328, 0.3366).


(2)
First-principles (PBE) data for a geometry-optimized Pm2AlGa3Pd4 structure, as listed in the Alexandria database.

As for the electronic total energy: -5.1292 eV/atom. The formation energy from the elements is -0.82 eV per atom. The theoretical density comes out at 8.21 g cm⁻³.

The space group is P-4m2 (No. 115) and the conventional cell measures 4.333, 4.333 and 10.256 Å, with angles of 90.00, 90.00 and 90.00 degrees. Symmetry generates all atoms from Pm at (0.000, 0.500, 0.249), Al at (0.000, 0.000, 0.500), Ga at (0.000, 0.500, 0.871), Ga at (0.500, 0.500, 0.500), Pd at (0.000, 0.000, 0.000), Pd at (0.000, 0.500, 0.629) and Pd at (0.500, 0.500, 0.000).